1.
A plane-wave DFT calculation with PBE+U was carried out for Cs2LaMoO6 after structural relaxation.

Lattice parameters (Å, degrees): 6.8536 6.8536 6.1811 90.00 90.00 120.00
Space group P-3m1 (No. 164)
One atom of each set of equivalent atoms:
Cs: 0.3333 0.6667 0.3954 (multiplicity 2)
La: 0.0000 0.0000 0.0000 (multiplicity 1)
Mo: 0.0000 0.0000 0.5000 (multiplicity 1)
O: 0.1292 0.2583 0.6960 (multiplicity 6)

Values from the calculation:
Raw total energy, eV/atom: -6.25


2.
A plane-wave DFT calculation with PBE+U was carried out for Cs2LaMo3O12 after structural relaxation.

Lattice parameters (Å, degrees): 7.5571 7.5571 19.3108 90.00 90.00 120.00
Space group R-3m (No. 166, hexagonal axes)
One atom of each set of equivalent atoms:
Cs: 0.0000 0.0000 0.1211 (multiplicity 6)
La: 0.0000 0.0000 0.5000 (multiplicity 3)
Mo: 0.0000 0.5000 0.0000 (multiplicity 9)
O: 0.0289 0.5145 0.0975 (multiplicity 18)
O: 0.0914 0.5457 0.3402 (multiplicity 18)

Values from the calculation:
Raw total energy, eV/atom: -6.71